Mn2OsO5 | PBE+U | optimized geometry

As for the total moment: 8.0 μB per formula unit. For the total energy, the calculation gives -7.5508 eV per atom.

It has space group Cm (No. 8), with a = 9.043 Å, b = 7.049 Å, c = 5.229 Å, α = 90.00°, β = 123.76° and γ = 90.00°. Symmetry generates all atoms from Mn at (0.000, 0.226, 0.000), Os at (0.321, 0.500, 0.257), O at (0.052, 0.000, 0.303), O at (0.065, 0.500, 0.124), O at (0.266, 0.274, 0.052) and O at (0.414, 0.500, 0.675).